The following is a PBE-GGA calculation of a relaxed structure of CeHo3Pu2S6, from Alexandria.

a = 6.779 Å, b = 6.779 Å, c = 6.867 Å
α = 99.46°, β = 99.46°, γ = 120.01°
Sites, in units of the cell vectors:
1 S 0.914 0.577 0.741
2 S 0.749 0.749 0.258
3 S 0.577 0.914 0.741
4 S 0.251 0.251 0.742
5 S 0.086 0.423 0.259
6 S 0.423 0.086 0.259
7 Ho 0.500 0.500 0.500
8 Ho 0.834 0.166 0.500
9 Ho 0.166 0.834 0.500
10 Pu 0.333 0.667 0.000
11 Pu 0.667 0.333 0.000
12 Ce 0.000 0.000 0.000

Calculated values
Formation energy from raw total energies = -1.94 eV per atom
Raw total energy = -8.04 eV per atom
SG = C2/m (12)
Total magnetization = 12.30 μB/f.u.
Calculated density = 8.46 Mg/m³


The following is a PBE-GGA calculation of a relaxed structure of Ti2NbVRu, from Alexandria.

a = 4.553 Å, b = 4.907 Å, c = 4.553 Å
α = 90.00°, β = 90.00°, γ = 90.00°
Sites, in units of the cell vectors:
1 V 0.500 0.500 0.500
2 Nb 0.000 0.500 0.000
3 Ti 0.500 0.000 0.000
4 Ti 0.000 0.000 0.500
5 Ru 0.000 0.000 0.000

Calculated values
Formation energy from the elements = 0.900 eV/atom
Raw total energy = -7.95 eV per atom
SG = P4/mmm (123)
Total magnetization = 0.00 μB/f.u.
Calculated density = 5.56 Mg/m³


The following is a PBE-GGA calculation of a relaxed structure of MnTcAu, from Alexandria.

a = 4.433 Å, b = 4.433 Å, c = 2.674 Å
α = 90.00°, β = 90.00°, γ = 120.00°
Sites, in units of the cell vectors:
1 Mn 0.667 0.333 0.316
2 Au 0.000 0.000 0.081
3 Tc 0.333 0.667 0.603

Calculated values
Distance to the lowest polymorph of the same formula = 0.063 eV/atom
Formation energy from the elements = 0.287 eV/atom
Raw total energy = -7.32 eV per atom
SG = P3m1 (156)
Total magnetization = 2.03 μB/f.u.
Calculated density = 12.77 Mg/m³


The following is a PBE-GGA calculation of a relaxed structure of TlAsSe, from Alexandria.

a = 4.901 Å, b = 4.901 Å, c = 4.901 Å
α = 60.00°, β = 60.00°, γ = 60.00°
Sites, in units of the cell vectors:
1 As 0.000 0.000 0.000
2 Tl 0.750 0.750 0.750
3 Se 0.500 0.500 0.500

Calculated values
Distance to the lowest polymorph of the same formula = 0.500 eV/atom
Formation energy from raw total energies = 0.50 eV per atom
Raw total energy = -3.00 eV per atom
SG = F-43m (216)
Total magnetization = 0.00 μB/f.u.
Calculated density = 7.15 Mg/m³


Please write out number 4 again, unchanged.
The following is a PBE-GGA calculation of a relaxed structure of TlAsSe, from Alexandria.

a = 4.901 Å, b = 4.901 Å, c = 4.901 Å
α = 60.00°, β = 60.00°, γ = 60.00°
Sites, in units of the cell vectors:
1 As 0.000 0.000 0.000
2 Tl 0.750 0.750 0.750
3 Se 0.500 0.500 0.500

Calculated values
Distance to the lowest polymorph of the same formula = 0.500 eV/atom
Formation energy from raw total energies = 0.50 eV per atom
Raw total energy = -3.00 eV per atom
SG = F-43m (216)
Total magnetization = 0.00 μB/f.u.
Calculated density = 7.15 Mg/m³


Repeat the fourth record exactly.
The following is a PBE-GGA calculation of a relaxed structure of TlAsSe, from Alexandria.

a = 4.901 Å, b = 4.901 Å, c = 4.901 Å
α = 60.00°, β = 60.00°, γ = 60.00°
Sites, in units of the cell vectors:
1 As 0.000 0.000 0.000
2 Tl 0.750 0.750 0.750
3 Se 0.500 0.500 0.500

Calculated values
Distance to the lowest polymorph of the same formula = 0.500 eV/atom
Formation energy from raw total energies = 0.50 eV per atom
Raw total energy = -3.00 eV per atom
SG = F-43m (216)
Total magnetization = 0.00 μB/f.u.
Calculated density = 7.15 Mg/m³


What is the formula in the third record?
MnTcAu